Entry 1:
Below is crystalline CoPd2Pt at its relaxed geometry, with properties calculated at the PBE level.

a b c (Å): 2.738 2.738 7.704
angles (deg): 90.00 90.00 90.00
Space group P4mm (No. 99)
Unique sites:
Co: 0.000 0.000 0.000 x1
Pd: 0.000 0.000 0.500 x1
Pd: 0.500 0.500 0.231 x1
Pt: 0.500 0.500 0.770 x1

Output
E: -5.95 eV per atom
Energy of formation: -0.065 eV per atom
Spin magnetization: 3.0 μB/f.u.
Fermi-level density of states: 2.918 states/eV/f.u.

Entry 2:
Below is crystalline K2AcHoS4 at its relaxed geometry, with properties calculated at the PBE level.

a b c (Å): 7.346 4.233 7.795
angles (deg): 90.00 108.22 90.00
Space group P2/m (No. 10)
Unique sites:
K: 0.000 0.000 0.000 x1
K: 0.500 0.500 0.000 x1
Ac: 0.000 0.500 0.500 x1
Ho: 0.500 0.000 0.500 x1
S: 0.257 0.000 0.710 x2
S: 0.282 0.500 0.297 x2

Output
E: -5.29 eV per atom
Energy relative to the elements, uncorrected: -1.87 eV per atom
Spin magnetization: 0.0 μB/f.u.
Fermi-level density of states: 0.000 states/eV/f.u.

Entry 3:
Below is crystalline CdCo at its relaxed geometry, with properties calculated at the PBE level.

a b c (Å): 4.910 7.867 13.812
angles (deg): 90.00 90.00 90.00
Space group Fddd (No. 70, origin choice 2)
Unique sites:
Cd: 0.125 0.295 0.125 x16
Co: 0.125 0.125 0.543 x16

Output
E: -3.62 eV per atom
Energy of formation: 0.395 eV per atom
Spin magnetization: 1.4 μB/f.u.
Fermi-level density of states: 1.651 states/eV/f.u.

Entry 4:
Below is crystalline Tb2Dy7Tm2 at its relaxed geometry, with properties calculated at the PBE level.

a b c (Å): 8.877 9.321 8.608
angles (deg): 90.00 100.75 90.00
Space group C2/m (No. 12)
Unique sites:
Tb: 0.106 0.000 0.358 x4
Dy: 0.000 0.500 0.500 x2
Dy: 0.152 0.500 0.910 x4
Dy: 0.235 0.184 0.712 x8
Tm: 0.000 0.175 0.000 x4

Output
E: -4.47 eV per atom
E above lowest polymorph: 0.0 meV per atom
Energy of formation: 0.109 eV per atom
Spin magnetization: 0.0 μB/f.u.
Fermi-level density of states: 16.691 states/eV/f.u.

Entry 5:
Below is crystalline Os2Ru5W2 at its relaxed geometry, with properties calculated at the PBE level.

a b c (Å): 11.522 8.948 5.335
angles (deg): 90.00 90.00 90.00
Space group Ima2 (No. 46)
Unique sites:
Os: 0.000 0.000 0.000 x4
Os: 0.250 0.013 0.145 x4
Ru: 0.053 0.720 0.747 x8
Ru: 0.145 0.236 0.931 x8
Ru: 0.250 0.744 0.959 x4
W: 0.129 0.508 0.094 x8

Output
E: -10.14 eV per atom
Energy of formation: 0.389 eV per atom
Spin magnetization: 0.0 μB/f.u.
Fermi-level density of states: 9.052 states/eV/f.u.

Entry 6:
Below is crystalline Ta2AsSe at its relaxed geometry, with properties calculated at the PBE level.

a b c (Å): 3.415 5.148 8.145
angles (deg): 90.00 90.00 90.00
Space group Cmmm (No. 65)
Unique sites:
Ta: 0.000 0.000 0.244 x4
As: 0.000 0.500 0.000 x2
Se: 0.000 0.500 0.500 x2

Output
E: -7.82 eV per atom
E above lowest polymorph: 536.7 meV per atom
Energy relative to the elements, uncorrected: 0.14 eV per atom
Spin magnetization: 0.0 μB/f.u.
Fermi-level density of states: 2.139 states/eV/f.u.

Entry 7:
Below is crystalline PuAgTe at its relaxed geometry, with properties calculated at the PBE level.

a b c (Å): 4.8227 4.8227 3.8110
angles (deg): 90.00 90.00 120.00
Space group P3m1 (No. 156)
Unique sites:
Pu: 0.0000 0.0000 0.0000 x1
Ag: 0.3333 0.6667 0.4939 x1
Te: 0.6667 0.3333 0.5028 x1

Output
E: -7.10 eV per atom
E above lowest polymorph: 167.3 meV per atom
Energy relative to the elements, uncorrected: -0.32 eV per atom
Spin magnetization: 6.1 μB/f.u.
Fermi-level density of states: 11.732 states/eV/f.u.

Entry 8:
Below is crystalline NaRuC at its relaxed geometry, with properties calculated at the PBE level.

a b c (Å): 5.832 3.297 5.367
angles (deg): 90.00 111.99 90.00
Space group Cm (No. 8)
Unique sites:
Na: 0.000 0.000 0.000 x2
Ru: 0.497 0.000 0.487 x2
C: 0.316 0.500 0.457 x2

Output
E: -6.29 eV per atom
E above lowest polymorph: 11.2 meV per atom
Energy of formation: 0.318 eV per atom
Spin magnetization: 0.0 μB/f.u.
Fermi-level density of states: 0.821 states/eV/f.u.

Entry 9:
Below is crystalline B2Pb2O at its relaxed geometry, with properties calculated at the PBE level.

a b c (Å): 6.807 6.807 3.458
angles (deg): 90.00 90.00 90.00
Space group P4/mbm (No. 127)
Unique sites:
B: 0.083 0.417 0.000 x4
Pb: 0.227 0.727 0.500 x4
O: 0.000 0.000 0.000 x2

Output
E: -4.34 eV per atom
E above lowest polymorph: 24.8 meV per atom
Energy relative to the elements, uncorrected: 0.81 eV per atom
Spin magnetization: 0.0 μB/f.u.
Fermi-level density of states: 2.897 states/eV/f.u.

Entry 10:
Below is crystalline PmSn2I8 at its relaxed geometry, with properties calculated at the PBE level.

a b c (Å): 13.733 11.635 8.085
angles (deg): 90.00 105.47 90.00
Space group C2/m (No. 12)
Unique sites:
Pm: 0.000 0.000 0.000 x2
Sn: 0.182 0.000 0.637 x4
I: 0.078 0.186 0.789 x8
I: 0.118 0.500 0.158 x4
I: 0.212 0.000 0.266 x4

Output
E: -2.99 eV per atom
Energy relative to the elements, uncorrected: -0.70 eV per atom
Spin magnetization: 0.0 μB/f.u.
Fermi-level density of states: 5.565 states/eV/f.u.

Entry 11:
Below is crystalline RbSnAu2 at its relaxed geometry, with properties calculated at the PBE level.

a b c (Å): 4.8447 4.8447 18.8088
angles (deg): 90.00 90.00 120.00
Space group R-3m (No. 166, hexagonal axes)
Unique sites:
Rb: 0.0000 0.0000 0.0000 x3
Sn: 0.0000 0.0000 0.5000 x3
Au: 0.0000 0.0000 0.1910 x6

Output
E: -3.14 eV per atom
Energy of formation: -0.254 eV per atom
Spin magnetization: 0.0 μB/f.u.
Fermi-level density of states: 0.971 states/eV/f.u.

Entry 12:
Below is crystalline YRu2N at its relaxed geometry, with properties calculated at the PBE level.

a b c (Å): 6.911 6.911 5.345
angles (deg): 90.00 90.00 90.00
Space group I-42d (No. 122)
Unique sites:
Y: 0.000 0.000 0.000 x4
Ru: 0.104 0.250 0.625 x8
N: 0.000 0.000 0.500 x4

Output
E: -8.53 eV per atom
Energy relative to the elements, uncorrected: -0.20 eV per atom
Spin magnetization: 0.0 μB/f.u.
Fermi-level density of states: 1.352 states/eV/f.u.

Entry 13:
Below is crystalline Mo3WN at its relaxed geometry, with properties calculated at the PBE level.

a b c (Å): 4.130 4.130 4.130
angles (deg): 90.00 90.00 90.00
Space group Pm-3m (No. 221)
Unique sites:
Mo: 0.000 0.000 0.500 x3
W: 0.500 0.500 0.500 x1
N: 0.000 0.000 0.000 x1

Output
E: -10.76 eV per atom
E above lowest polymorph: 0.0 meV per atom
Energy relative to the elements, uncorrected: -0.01 eV per atom
Spin magnetization: 0.0 μB/f.u.
Fermi-level density of states: 7.094 states/eV/f.u.

Entry 14:
Below is crystalline Mg14MnZn at its relaxed geometry, with properties calculated at the PBE level.

a b c (Å): 6.2528 6.2528 10.1209
angles (deg): 90.00 90.00 120.00
Space group P-6m2 (No. 187)
Unique sites:
Mg: 0.0000 0.0000 0.2476 x2
Mg: 0.0093 0.5046 0.2461 x6
Mg: 0.3330 0.1665 0.5000 x3
Mg: 0.3347 0.1674 0.0000 x3
Mn: 0.3333 0.6667 0.0000 x1
Zn: 0.3333 0.6667 0.5000 x1

Output
E: -2.01 eV per atom
Energy of formation: 0.040 eV per atom
Spin magnetization: 3.5 μB/f.u.
Fermi-level density of states: 5.702 states/eV/f.u.

Entry 15:
Below is crystalline Sr2BeFeP at its relaxed geometry, with properties calculated at the PBE level.

a b c (Å): 5.815 5.815 4.207
angles (deg): 90.00 90.00 90.00
Space group P4/mmm (No. 123)
Unique sites:
Sr: 0.000 0.500 0.000 x2
Be: 0.000 0.000 0.500 x1
Fe: 0.500 0.500 0.500 x1
P: 0.500 0.500 0.000 x1

Output
E: -4.02 eV per atom
Energy of formation: 0.170 eV per atom
Spin magnetization: 1.0 μB/f.u.
Fermi-level density of states: 4.193 states/eV/f.u.

Entry 16:
Below is crystalline Cs2SiAgCl6 at its relaxed geometry, with properties calculated at the PBE level.

a b c (Å): 7.319 7.319 10.423
angles (deg): 90.00 90.00 90.00
Space group I4/mmm (No. 139)
Unique sites:
Cs: 0.000 0.500 0.250 x4
Si: 0.000 0.000 0.000 x2
Ag: 0.000 0.000 0.500 x2
Cl: 0.000 0.000 0.231 x4
Cl: 0.232 0.232 0.000 x8

Output
E: -3.35 eV per atom
Energy relative to the elements, uncorrected: -1.24 eV per atom
Spin magnetization: 0.0 μB/f.u.
Fermi-level density of states: 1.915 states/eV/f.u.

Entry 17:
Below is crystalline KCdBiI6 at its relaxed geometry, with properties calculated at the PBE level.

a b c (Å): 7.8951 7.8951 15.6556
angles (deg): 90.00 90.00 120.00
Space group P-31c (No. 163)
Unique sites:
K: 0.0000 0.0000 0.0000 x2
Cd: 0.3333 0.6667 0.2500 x2
Bi: 0.3333 0.6667 0.7500 x2
I: 0.0078 0.3723 0.1362 x12

Output
E: -2.40 eV per atom
Energy relative to the elements, uncorrected: -0.71 eV per atom
Spin magnetization: 0.0 μB/f.u.
Fermi-level density of states: 0.000 states/eV/f.u.

Entry 18:
Below is crystalline ScAsSe2 at its relaxed geometry, with properties calculated at the PBE level.

a b c (Å): 3.804 5.212 5.036
angles (deg): 90.00 112.15 90.00
Space group Pm (No. 6)
Unique sites:
Sc: 0.000 0.000 0.000 x1
As: 0.597 0.500 0.191 x1
Se: 0.293 0.000 0.585 x1
Se: 0.918 0.500 0.834 x1

Output
E: -5.21 eV per atom
Energy relative to the elements, uncorrected: -0.72 eV per atom
Spin magnetization: 0.0 μB/f.u.
Fermi-level density of states: 0.834 states/eV/f.u.

Entry 19:
Below is crystalline SrTeF at its relaxed geometry, with properties calculated at the PBE level.

a b c (Å): 3.517 3.517 12.141
angles (deg): 90.00 90.00 90.00
Space group I4mm (No. 107)
Unique sites:
Sr: 0.000 0.000 0.000 x2
Te: 0.000 0.000 0.284 x2
F: 0.000 0.000 0.547 x2

Output
E: -4.45 eV per atom
E above lowest polymorph: 66.3 meV per atom
Energy relative to the elements, uncorrected: -2.22 eV per atom
Spin magnetization: 0.0 μB/f.u.
Fermi-level density of states: 0.825 states/eV/f.u.

Entry 20:
Below is crystalline Ce2PtRh at its relaxed geometry, with properties calculated at the PBE level.

a b c (Å): 5.952 4.161 7.770
angles (deg): 90.00 109.10 90.00
Space group P2_1/m (No. 11)
Unique sites:
Ce: 0.225 0.250 0.425 x2
Ce: 0.227 0.250 0.938 x2
Pt: 0.314 0.750 0.703 x2
Rh: 0.299 0.750 0.202 x2

Output
E: -7.25 eV per atom
Energy of formation: -0.932 eV per atom
Spin magnetization: 0.8 μB/f.u.
Fermi-level density of states: 8.275 states/eV/f.u.